# TaReO6 | Alexandria via LeMat-Bulk | meta-GGA SCAN | single point on PBEsol structure
# * ρ: 7.1 g cm⁻³
# * symmetry: P2_1/m, No. 11
# * uncorrected formation energy: -2.13 eV/atom
# * calculated total energy: -24.01 eV per atom
data_TaReO6
_chemical_formula_sum 'Ta2 Re2 O12'
_space_group_name_H-M_alt 'P 1'
_space_group_IT_number 1
_cell_length_a 5.3208
_cell_length_b 5.4322
_cell_length_c 7.4897
_cell_angle_alpha 90.00
_cell_angle_beta 90.00
_cell_angle_gamma 90.19
loop_
_space_group_symop_operation_xyz
'x,y,z'
loop_
_atom_site_label
_atom_site_type_symbol
_atom_site_fract_x
_atom_site_fract_y
_atom_site_fract_z
Ta1 Ta 0.0000 0.5000 0.0000
Ta2 Ta 0.0000 0.5000 0.5000
Re1 Re 0.5000 0.0000 0.0000
Re2 Re 0.5000 0.0000 0.5000
O1 O 0.7418 0.2403 0.5390
O2 O 0.2592 0.2410 0.4670
O3 O 0.2582 0.7597 0.4610
O4 O 0.7408 0.7590 0.9670
O5 O 0.0799 0.5070 0.7500
O6 O 0.7408 0.7590 0.5330
O7 O 0.2592 0.2410 0.0330
O8 O 0.7418 0.2403 0.9610
O9 O 0.5700 0.0058 0.2500
O10 O 0.2582 0.7597 0.0390
O11 O 0.4300 0.9942 0.7500
O12 O 0.9201 0.4930 0.2500